Entry from Alexandria: a geometry-optimized RbZnBP2O8 structure (PBE-GGA).

distance to the lowest polymorph of the same formula	0	meV per atom
E_form (uncorrected)	-2221.9	meV per atom
total energy	-6.79	eV/atom
volume	372.9	Å³ per cell
spin magnetization	0.00	μB/cell

Cell lengths 7.5823, 7.7915, 7.9874 Å; angles 118.36, 101.88, 104.14 degrees
Closest atoms and distances in Å follow each position.
Space group P-1 (No. 2)
Symmetry-distinct sites (fractional):
Rb  0.2306  0.3403  0.0869 [2 per cell]  6 O 2.99-3.28
Zn  0.2997  0.7068  0.7608 [2 per cell]  4 O 1.95-1.98
B  0.2031  0.9282  0.4296 [2 per cell]  4 O 1.47-1.49
P  0.0500  0.2220  0.4207 [2 per cell]  4 O 1.52-1.58
P  0.4639  0.8921  0.2254 [2 per cell]  4 O 1.52-1.58
O  0.0542  0.7572  0.4231 [2 per cell]  1 B 1.49, 1 P 1.58
O  0.0897  0.8138  0.7735 [2 per cell]  1 P 1.54
O  0.0953  0.0176  0.3392 [2 per cell]  1 B 1.48, 1 P 1.57
O  0.2378  0.4213  0.5290 [2 per cell]  1 P 1.52
O  0.2941  0.8144  0.2908 [2 per cell]  1 B 1.47, 1 P 1.58
O  0.3431  0.0958  0.6400 [2 per cell]  1 B 1.47, 1 P 1.58
O  0.4163  0.7080  0.0064 [2 per cell]  1 P 1.53
O  0.4846  0.1042  0.2530 [2 per cell]  1 P 1.52

***

Entry from Alexandria: a geometry-optimized BaH4O3 structure (PBE-GGA).

distance to the lowest polymorph of the same formula	5	meV per atom
total energy	-5.30	eV/atom
volume	176.6	Å³ per cell
spin magnetization	0.00	μB/cell

Cell lengths 4.1783, 6.3855, 7.1042 Å; angles 69.11, 86.02, 89.37 degrees
Closest atoms and distances in Å follow each position.
Space group P-1 (No. 2)
Symmetry-distinct sites (fractional):
Ba  0.2328  0.1425  0.2149 [2 per cell]  7 O 2.72-2.99, 4 H 2.83-3.03
H  0.0336  0.6798  0.1763 [2 per cell]  1 O 1.03
H  0.2550  0.6305  0.5894 [2 per cell]  1 O 0.97
H  0.3468  0.2232  0.6499 [2 per cell]  1 O 0.99
H  0.4196  0.6753  0.1692 [2 per cell]  1 O 1.01
O  0.2297  0.6122  0.1244 [2 per cell]  2 H 1.01-1.03
O  0.2710  0.1827  0.7930 [2 per cell]  1 H 0.99
O  0.2985  0.7876  0.5666 [2 per cell]  1 H 0.97

***

Entry from Alexandria: a geometry-optimized SmTlGe structure (PBE-GGA).

distance to the lowest polymorph of the same formula	34	meV per atom
total energy	-4.27	eV/atom
volume	163.0	Å³ per cell
spin magnetization	0.00	μB/cell
ΔE_f	-0.373	eV/atom

Cell lengths 3.9857, 4.3843, 10.4435 Å; angles 100.29, 91.15, 114.15 degrees
Closest atoms and distances in Å follow each position.
Space group P-1 (No. 2)
Symmetry-distinct sites (fractional):
Sm  0.0817  0.1536  0.1979 [2 per cell]  5 Ge 2.99-3.25, 2 Tl 3.29-3.30
Tl  0.1934  0.3479  0.5897 [2 per cell]  3 Tl 3.03-3.18, 3 Sm 3.29-3.35
Ge  0.3442  0.6966  0.0235 [2 per cell]  3 Ge 2.50-2.58